The following is a DFT calculation (GGA-PBE) of a relaxed structure of AcSc2Se4.

## Properties
E_form (uncorrected) = -1.8099 eV/atom

abc: 4.0742 6.7485 13.4944
angles: 90.00 90.00 107.57
Closest atoms and distances in Å follow each position.
Fractional coordinates of all 14 atoms:
Ac (0.6183, 0.2367, 0.7500)  6 Se 3.09-3.13
Ac (0.3817, 0.7633, 0.2500)  6 Se 3.09-3.13
Se (0.5000, 0.0000, 0.5000)  4 Sc 2.74
Se (0.7668, 0.5335, 0.3875)  3 Sc 2.70-2.80
Se (0.7668, 0.5335, 0.1125)  3 Sc 2.70-2.80
Se (0.2332, 0.4665, 0.8875)  3 Sc 2.70-2.80
Se (0.2332, 0.4665, 0.6125)  3 Sc 2.70-2.80
Se (0.0623, 0.1246, 0.2500)  2 Sc 2.69
Se (0.9377, 0.8754, 0.7500)  2 Sc 2.69
Se (0.5000, 0.0000, 0.0000)  4 Sc 2.74
Sc (0.1273, 0.2546, 0.4395)  6 Se 2.69-2.80
Sc (0.8727, 0.7454, 0.5605)  6 Se 2.69-2.80
Sc (0.1273, 0.2546, 0.0605)  6 Se 2.69-2.80
Sc (0.8727, 0.7454, 0.9395)  6 Se 2.69-2.80

The following is a DFT calculation (GGA-PBE) of a relaxed structure of K2SnAsH.

## Properties
Energy = -31.782 eV per cell

abc: 4.1552 6.7964 11.2852
angles: 113.11 90.00 90.00
Closest atoms and distances in Å follow each position.
Fractional coordinates of all 10 atoms:
H (0.2500, 0.7913, 0.7087)  1 Sn 1.87
H (0.7500, 0.2087, 0.2913)  1 Sn 1.87
K (0.2500, 0.2236, 0.4404)  2 H 2.65
K (0.2500, 0.1973, 0.8986)  1 H 2.75
K (0.7500, 0.7764, 0.5596)  2 H 2.65
K (0.7500, 0.8027, 0.1014)  1 H 2.75
As (0.2500, 0.6397, 0.3017)  2 Sn 2.73
As (0.7500, 0.3603, 0.6983)  2 Sn 2.73
Sn (0.2500, 0.6293, 0.8102)  1 H 1.87
Sn (0.7500, 0.3707, 0.1898)  1 H 1.87

The following is a DFT calculation (GGA-PBE) of a relaxed structure of PmZnAg.

## Properties
ΔE_f = -0.3207 eV per atom

abc: 3.4616 4.7175 4.7175
angles: 120.00 90.00 90.00
Closest atoms and distances in Å follow each position.
Fractional coordinates of all 3 atoms:
Zn (0.1665, 0.0000, 0.0000)  3 Ag 2.72
Pm (0.6669, 0.3333, 0.6667)  6 Zn 3.23, 6 Ag 3.23, 2 Pm 3.46
Ag (0.1667, 0.6667, 0.3333)  3 Zn 2.72

The following is a DFT calculation (GGA-PBE) of a relaxed structure of Rb3ScAl2O6.

## Properties
E_form (uncorrected) = -2.3217 eV/atom

abc: 5.9489 5.9489 7.2262
angles: 90.00 90.00 120.00
Closest atoms and distances in Å follow each position.
Fractional coordinates of all 12 atoms:
O (0.1674, 0.3348, 0.3180)  1 Al 1.71
O (0.8326, 0.6652, 0.6820)  1 Al 1.71
O (0.1674, 0.8326, 0.3180)  1 Al 1.71
O (0.6652, 0.8326, 0.3180)  1 Al 1.71
O (0.8326, 0.1674, 0.6820)  1 Al 1.71
O (0.3348, 0.1674, 0.6820)  1 Al 1.71
Sc (0.0000, 0.0000, 0.5000)  6 O 2.17
Rb (0.3333, 0.6667, 0.7587)  6 O 3.03, 1 Al 3.16
Rb (0.0000, 0.0000, 0.0000)  6 O 2.87
Rb (0.6667, 0.3333, 0.2413)  6 O 3.03, 1 Al 3.16
Al (0.3333, 0.6667, 0.3219)  3 O 1.71
Al (0.6667, 0.3333, 0.6781)  3 O 1.71

The following is a DFT calculation (GGA-PBE) of a relaxed structure of Mn2Cr2W.

## Properties
ΔE_f = 0.5203 eV per atom

abc: 5.4011 5.4011 5.4011
angles: 139.81 139.81 58.14
Closest atoms and distances in Å follow each position.
Fractional coordinates of all 5 atoms:
W (0.0000, 0.0000, 0.0000)  8 Cr 2.84, 8 Mn 3.00
Cr (0.3837, 0.3837, 0.0000)  1 Cr 2.20, 4 Mn 2.24
Cr (0.6163, 0.6163, 0.0000)  1 Cr 2.20, 4 Mn 2.24
Mn (0.2500, 0.7500, 0.5000)  4 Cr 2.24
Mn (0.7500, 0.2500, 0.5000)  4 Cr 2.24

The following is a DFT calculation (GGA-PBE) of a relaxed structure of Co3BiSe.

## Properties
E_form (uncorrected) = 0.5298 eV/atom

abc: 4.4182 4.4182 4.4182
angles: 90.00 90.00 90.00
Closest atoms and distances in Å follow each position.
Fractional coordinates of all 5 atoms:
Bi (0.5000, 0.5000, 0.5000)  12 Co 3.12
Co (0.5000, 0.0000, 0.0000)  2 Se 2.21
Co (0.0000, 0.0000, 0.5000)  2 Se 2.21
Co (0.0000, 0.5000, 0.0000)  2 Se 2.21
Se (0.0000, 0.0000, 0.0000)  6 Co 2.21

The following is a DFT calculation (GGA-PBE) of a relaxed structure of InGa2Hg2.

## Properties
ΔE_f = 0.0519 eV per atom

abc: 5.7156 9.7891 7.8111
angles: 35.66 82.26 93.39
Closest atoms and distances in Å follow each position.
Fractional coordinates of all 10 atoms:
In (0.2953, 0.1811, 0.7193)  5 Ga 2.90-3.15, 1 Hg 3.17
In (0.7047, 0.8189, 0.2807)  5 Ga 2.90-3.15, 1 Hg 3.17
Ga (0.3618, 0.7087, 0.1148)  2 Hg 2.77-2.94, 2 Ga 2.78-2.81, 3 In 2.90-3.06
Ga (0.1262, 0.5911, 0.5719)  2 Ga 2.78-2.81, 2 Hg 2.86-3.02
Ga (0.8738, 0.4089, 0.4281)  2 Ga 2.78-2.81, 2 Hg 2.86-3.02
Ga (0.6382, 0.2913, 0.8852)  2 Hg 2.77-2.94, 2 Ga 2.78-2.81, 3 In 2.90-3.06
Hg (0.8874, 0.9032, 0.7769)  3 Ga 2.94-3.18, 2 Hg 2.97-3.26, 2 In 3.17-3.28
Hg (0.1126, 0.0968, 0.2231)  3 Ga 2.94-3.18, 2 Hg 2.97-3.26, 2 In 3.17-3.28
Hg (0.6554, 0.3106, 0.2180)  2 Ga 2.77-2.86
Hg (0.3446, 0.6894, 0.7820)  2 Ga 2.77-2.86

The following is a DFT calculation (GGA-PBE) of a relaxed structure of MgTlPd6.

## Properties
ΔE_f = -0.3162 eV per atom

abc: 4.6199 5.7221 5.7221
angles: 119.83 90.00 90.00
Closest atoms and distances in Å follow each position.
Fractional coordinates of all 8 atoms:
Pd (0.5000, 0.9160, 0.0840)  8 Pd 2.83-2.86, 2 Mg 2.84, 2 Tl 2.87
Pd (0.0000, 0.5868, 0.9222)  8 Pd 2.81-2.92, 2 Tl 2.86, 2 Mg 2.86
Pd (0.0000, 0.0778, 0.4132)  8 Pd 2.81-2.92, 2 Tl 2.86, 2 Mg 2.86
Pd (0.5000, 0.4157, 0.0835)  8 Pd 2.83-2.87, 2 Mg 2.84, 2 Tl 2.86
Pd (0.0000, 0.5870, 0.4130)  8 Pd 2.81-2.91, 2 Tl 2.86, 2 Mg 2.87
Pd (0.5000, 0.9165, 0.5843)  8 Pd 2.83-2.87, 2 Mg 2.84, 2 Tl 2.86
Mg (0.0000, 0.0835, 0.9165)  12 Pd 2.84-2.87
Tl (0.5000, 0.4164, 0.5836)  12 Pd 2.86-2.87